No. 1
Density functional theory data (PBE-GGA) for a relaxed structure of LiTmLu.

DFT total energy ... -10.59 eV for the cell shown
Crystal system ... tetragonal
Relative energy among the computed polymorphs ... 0 meV per atom
ΔE_f ... 0.11 eV per atom
Calculated density ... 7.43 g cm⁻³

Cell lengths 3.5716, 3.5716, 6.6485 Å; angles 105.58, 105.58, 90.00 degrees
Element x y z (fractional)
Tm 0.0112 0.0112 0.0224
Lu 0.3212 0.3212 0.6424
Li 0.6676 0.6676 0.3352


No. 2
Density functional theory data (PBE-GGA) for a relaxed structure of LiTm2Lu.

DFT total energy ... -14.70 eV for the cell shown
Crystal system ... cubic
Relative energy among the computed polymorphs ... 91 meV per atom
ΔE_f ... 0.17 eV per atom
Calculated density ... 7.90 g cm⁻³

Cell lengths 5.3661, 5.3661, 5.3661 Å; angles 60.00, 60.00, 60.00 degrees
Element x y z (fractional)
Tm 0.7500 0.7500 0.7500
Lu 0.0000 0.0000 0.0000
Tm 0.2500 0.2500 0.2500
Li 0.5000 0.5000 0.5000


No. 3
Density functional theory data (PBE-GGA) for a relaxed structure of Li2TmLu.

DFT total energy ... -12.17 eV for the cell shown
Crystal system ... tetragonal
Relative energy among the computed polymorphs ... 0 meV per atom
ΔE_f ... 0.16 eV per atom
Calculated density ... 6.14 g cm⁻³

Cell lengths 3.6432, 3.6432, 7.2887 Å; angles 90.00, 90.00, 90.00 degrees
Element x y z (fractional)
Lu 0.5000 0.5000 0.0000
Li 0.0000 0.0000 0.2488
Li 0.0000 0.0000 0.7512
Tm 0.5000 0.5000 0.5000


No. 4
Density functional theory data (PBE-GGA) for a relaxed structure of LiTmLu.

DFT total energy ... -10.52 eV for the cell shown
Crystal system ... trigonal
Relative energy among the computed polymorphs ... 24 meV per atom
ΔE_f ... 0.13 eV per atom
Calculated density ... 7.11 g cm⁻³

Cell lengths 3.3949, 3.3949, 8.2042 Å; angles 90.00, 90.00, 120.00 degrees
Element x y z (fractional)
Lu 0.6667 0.3333 0.3312
Tm 0.3333 0.6667 0.6676
Li 0.0000 0.0000 0.0012